No. 1
Material: CsBa2SnS4
Method: DFT, GGA-PBE
State: optimized geometry

CIF file:
```
data_CsBa2SnS4
_cell_length_a 8.184
_cell_length_b 8.184
_cell_length_c 15.342
_cell_angle_alpha 90.00
_cell_angle_beta 90.00
_cell_angle_gamma 146.47
_symmetry_space_group_name_H-M 'P 1'
_symmetry_Int_Tables_number 1
loop_
_symmetry_equiv_pos_as_xyz
'x,y,z'
loop_
_atom_site_label
_atom_site_type_symbol
_atom_site_fract_x
_atom_site_fract_y
_atom_site_fract_z
Cs1 Cs 0.109 0.891 0.750
Cs2 Cs 0.891 0.109 0.250
Ba1 Ba 0.373 0.627 0.542
Ba2 Ba 0.373 0.627 0.958
Ba3 Ba 0.627 0.373 0.042
Ba4 Ba 0.627 0.373 0.458
Sn1 Sn 0.156 0.844 0.250
Sn2 Sn 0.844 0.156 0.750
S1 S 0.000 0.000 0.000
S2 S 0.000 0.000 0.500
S3 S 0.252 0.748 0.122
S4 S 0.252 0.748 0.378
S5 S 0.414 0.586 0.750
S6 S 0.586 0.414 0.250
S7 S 0.748 0.252 0.622
S8 S 0.748 0.252 0.878
```

Values from the calculation:
crystal system	orthorhombic
theoretical density	3.8	g/cm3



No. 2
Material: TcP3
Method: DFT, GGA-PBE
State: optimized geometry

CIF file:
```
data_TcP3
_cell_length_a 5.851
_cell_length_b 5.851
_cell_length_c 4.283
_cell_angle_alpha 90.00
_cell_angle_beta 90.00
_cell_angle_gamma 120.00
_symmetry_space_group_name_H-M 'P 1'
_symmetry_Int_Tables_number 1
loop_
_symmetry_equiv_pos_as_xyz
'x,y,z'
loop_
_atom_site_label
_atom_site_type_symbol
_atom_site_fract_x
_atom_site_fract_y
_atom_site_fract_z
Tc1 Tc 0.333 0.667 0.250
Tc2 Tc 0.667 0.333 0.750
P1 P 0.198 0.396 0.750
P2 P 0.198 0.802 0.750
P3 P 0.396 0.198 0.250
P4 P 0.604 0.802 0.750
P5 P 0.802 0.198 0.250
P6 P 0.802 0.604 0.250
```

Values from the calculation:
energy above the lowest structure with this stoichiometry	867	meV/atom
crystal system	hexagonal
theoretical density	5.0	g/cm3
energy of formation from the pure elements	41	kJ/mol of atoms



No. 3
Material: MnTeP2
Method: DFT, GGA-PBE
State: optimized geometry

CIF file:
```
data_MnTeP2
_cell_length_a 5.865
_cell_length_b 5.865
_cell_length_c 5.865
_cell_angle_alpha 151.18
_cell_angle_beta 128.84
_cell_angle_gamma 59.79
_symmetry_space_group_name_H-M 'P 1'
_symmetry_Int_Tables_number 1
loop_
_symmetry_equiv_pos_as_xyz
'x,y,z'
loop_
_atom_site_label
_atom_site_type_symbol
_atom_site_fract_x
_atom_site_fract_y
_atom_site_fract_z
Mn1 Mn 0.000 0.000 0.000
Te1 Te 0.500 0.500 0.000
P1 P 0.180 0.680 0.500
P2 P 0.820 0.320 0.500
```

Values from the calculation:
crystal system	orthorhombic
theoretical density	5.4	g/cm3



no.,DFT total energy (eV/atom)
1,-4.563
2,-6.227
3,-5.384